No. 1
Density functional theory data (PBE) for a relaxed H3IrF9 crystal.

extended XYZ file:
```
26
Lattice="-3.4276 -4.5872 -2.0709 4.0914 -7.0641 -0.0770 -1.1510 -6.3868 7.0995" Properties=species:S:1:pos:R:3 pbc="T T T"
F -0.7523 -9.8267 6.0054
H 0.4153 -11.8172 -1.3762
F -1.5906 -10.4171 2.8149
F -3.0871 -9.2635 4.2673
F -1.9857 -7.2554 2.5478
H -2.2032 -11.4750 2.2137
F -2.3368 -7.9563 -0.5994
F -0.7715 -5.0850 3.4960
H -2.2132 -9.9290 3.4519
F -1.1900 -5.3556 0.8953
H -3.5169 -9.7776 5.0257
F 0.2162 -8.1552 -1.2938
Ir 0.8682 -9.8924 6.9452
Ir -2.2771 -5.4087 2.4218
F -2.4316 -12.6065 4.7954
F 0.8574 -7.8312 1.4786
F 1.8059 -10.0393 5.3283
F 0.3028 -12.7936 1.2755
F 2.9400 -8.2004 0.3803
H 2.0541 -8.0646 0.8582
F 0.7696 -7.6909 3.8562
F 1.8849 -5.3765 -0.0710
F 1.5248 -10.6258 2.2093
F 0.7360 -12.5370 3.8801
F 1.0938 -11.1035 -1.1198
H 0.8456 -7.7859 2.4895
```



No. 2
Density functional theory data (PBE) for a relaxed H2IrF crystal.

extended XYZ file:
```
8
Lattice="-0.5142 -4.5715 0.0882 1.1164 -0.0395 4.4635 -2.8354 -1.9375 3.0636" Properties=species:S:1:pos:R:3 pbc="T T T"
F 0.3011 -2.3055 2.2759
Ir -1.5243 -4.4072 2.7138
F -0.7090 -2.1412 4.9015
H -1.9364 -3.1810 3.8619
H -0.9071 -3.4926 1.3818
H -0.0589 -0.9344 3.5638
H -1.5640 -5.4890 6.4231
Ir 0.0000 0.0000 0.0000
```

Computed properties:
Its density of states at the Fermi level is 4.8 states/eV/cell.



No. 3
Density functional theory data (PBE) for a relaxed KHIrF6 crystal.

extended XYZ file:
```
9
Lattice="5.4265 0.1040 0.2043 2.7880 4.5818 0.0521 0.2167 -0.0781 5.8554" Properties=species:S:1:pos:R:3 pbc="T T T"
F 2.1695 2.5355 4.6500
F 3.4188 0.8116 1.3864
H 5.5232 1.7896 3.1165
F 3.1993 3.3949 2.2027
F 6.3893 1.8942 2.3742
Ir 2.8106 1.6807 3.0168
F 4.6600 1.6077 3.8611
F 5.2180 4.5657 3.9237
K 0.5517 0.0725 5.7706
```

Computed properties:
Its density of states at the Fermi level is 0.2 states/eV/cell.



No. 4
Density functional theory data (PBE) for a relaxed HIrN2F crystal.

extended XYZ file:
```
5
Lattice="3.7642 0.0000 0.0000 0.0000 3.7642 0.0000 0.0000 0.0000 4.3200" Properties=species:S:1:pos:R:3 pbc="T T T"
Ir 0.0000 0.0000 0.0000
N 1.8821 0.0000 0.0000
N 0.0000 1.8821 0.0000
F 0.0000 0.0000 2.1600
H 1.8821 1.8821 2.1600
```

Computed properties:
Its density of states at the Fermi level is 2.8 states/eV/cell.



No. 5
Density functional theory data (PBE) for a relaxed HIrNF2 crystal.

extended XYZ file:
```
5
Lattice="-0.4516 2.7990 -0.6945 0.0759 -0.6911 -2.8350 -6.2077 -0.9832 0.0734" Properties=species:S:1:pos:R:3 pbc="T T T"
F -0.2258 1.3995 -0.3472
H 0.0000 0.0000 0.0000
F 0.0380 -0.3456 -1.4175
Ir -3.2917 0.5623 -1.7280
N -3.1038 -0.4916 0.0367
```

Computed properties:
Its density of states at the Fermi level is 3.1 states/eV/cell.



No. 6
Density functional theory data (PBE) for a relaxed HIrN2F crystal.

extended XYZ file:
```
5
Lattice="3.2487 0.0000 0.0000 0.0000 3.2487 0.0000 0.0000 0.0000 3.7448" Properties=species:S:1:pos:R:3 pbc="T T T"
F 0.0000 0.0000 1.8724
N 0.0000 1.6243 0.0000
Ir 1.6243 1.6243 1.8724
N 1.6243 0.0000 0.0000
H 0.0000 0.0000 0.0000
```

Computed properties:
Its density of states at the Fermi level is 2.6 states/eV/cell.



| no. | total magnetization (μB per formula unit) | electronic total energy (eV per atom) |
| --- | --- | --- |
| 1 | 3.0 | -4.27 |
| 2 | 0.7 | -4.21 |
| 3 | 1.0 | -4.57 |
| 4 | 1.1 | -5.21 |
| 5 | 1.1 | -4.50 |
| 6 | 0.0 | -4.46 |